Material: KHgPS4
Method: DFT, GGA-PBE
State: optimized geometry

abc: 6.374 7.182 8.915
angles: 90.00 103.11 90.00
Atoms (fractional coordinates):
K1 0.222 0.250 0.055
K2 0.778 0.750 0.945
Hg1 0.240 0.250 0.596
Hg2 0.760 0.750 0.404
P1 0.206 0.750 0.289
P2 0.794 0.250 0.711
S1 0.003 0.523 0.286
S2 0.003 0.977 0.286
S3 0.339 0.750 0.105
S4 0.433 0.750 0.499
S5 0.567 0.250 0.501
S6 0.661 0.250 0.895
S7 0.997 0.023 0.714
S8 0.997 0.477 0.714

Results
Space group: No. 11
Crystal system: monoclinic
ΔE_f (raw) in eV per atom: -0.472

***

Material: KHgPS2
Method: DFT, GGA-PBE
State: optimized geometry

abc: 6.214 6.214 6.841
angles: 90.00 90.00 90.00
Atoms (fractional coordinates):
K1 0.000 0.000 0.000
Hg1 0.500 0.500 0.500
P1 0.000 0.000 0.500
S1 0.000 0.500 0.000
S2 0.500 0.000 0.000

Results
Space group: No. 123
Crystal system: tetragonal
E above lowest polymorph in meV per atom: 803
ΔE_f (raw) in eV per atom: 1.191

***

Material: K2HgPSe4
Method: DFT, GGA-PBE
State: optimized geometry

abc: 7.967 7.967 8.560
angles: 97.46 97.46 96.68
Atoms (fractional coordinates):
K1 0.000 0.000 0.000
K2 0.000 0.000 0.500
K3 0.000 0.500 0.000
K4 0.500 0.000 0.500
Hg1 0.500 0.500 0.000
Hg2 0.500 0.500 0.500
P1 0.000 0.500 0.500
P2 0.500 0.000 0.000
Se1 0.173 0.683 0.368
Se2 0.251 0.362 0.619
Se3 0.317 0.827 0.132
Se4 0.362 0.251 0.119
Se5 0.638 0.749 0.881
Se6 0.683 0.173 0.868
Se7 0.749 0.638 0.381
Se8 0.827 0.317 0.632

Results
Space group: No. 15
Crystal system: monoclinic
ΔE_f (raw) in eV per atom: -0.342

***

Material: KHg2PSe4
Method: DFT, GGA-PBE
State: optimized geometry

abc: 7.004 6.637 7.447
angles: 59.31 54.57 66.11
Atoms (fractional coordinates):
K1 0.000 0.000 0.000
Hg1 0.324 0.324 0.176
Hg2 0.824 0.824 0.676
P1 0.500 0.500 0.500
Se1 0.158 0.529 0.842
Se2 0.473 0.809 0.191
Se3 0.529 0.158 0.471
Se4 0.809 0.473 0.527

Results
Space group: No. 42
Crystal system: orthorhombic
ΔE_f (raw) in eV per atom: -0.304

***

Material: KSrHgP
Method: DFT, GGA-PBE
State: optimized geometry

abc: 5.473 5.473 5.473
angles: 60.00 60.00 60.00
Atoms (fractional coordinates):
K1 0.000 0.000 0.000
Sr1 0.500 0.500 0.500
Hg1 0.250 0.250 0.250
P1 0.750 0.750 0.750

Results
Space group: No. 216
Crystal system: cubic
ΔH_f (0 K) in kJ/mol of formula units: -190

***

Material: K2TlHgP
Method: DFT, GGA-PBE
State: optimized geometry

abc: 6.269 6.269 5.471
angles: 90.00 90.00 90.00
Atoms (fractional coordinates):
K1 0.000 0.500 0.000
K2 0.500 0.000 0.000
Tl1 0.000 0.000 0.500
Hg1 0.500 0.500 0.500
P1 0.000 0.000 0.000

Results
Space group: No. 123
Crystal system: tetragonal
ΔH_f (0 K) in kJ/mol of formula units: -42

***

In the order shown, the computed calculated total energy values come out to -0.140 -0.067 -0.113 -0.108 -0.096 -0.079 hartree per atom.
In the order shown, the computed magnetization values come out to 0.00 1.20 0.00 0.00 0.00 0.00 μB/atom.